Mg3Cu2Ni: optimized geometry, PBE.

Its calculated total energy is -38.8 eV/cell. As for the magnetization: 0.000 μB/atom.

It has space group Cmmm (No. 65), with a = 4.344 Å, b = 13.086 Å, c = 3.193 Å, α = 90.00°, β = 90.00° and γ = 90.00°. The asymmetric unit holds Mg at (0.000, 0.000, 0.000), Mg at (0.000, 0.338, 0.000), Cu at (0.000, 0.169, 0.500) and Ni at (0.000, 0.500, 0.500).

=====

Mg4Cu3Ni: optimized geometry, PBE.

Its calculated total energy is -25.3 eV/cell. As for the magnetization: 0.000 μB/atom.

It has space group P4/mmm (No. 123), with a = 4.339 Å, b = 4.339 Å, c = 6.479 Å, α = 90.00°, β = 90.00° and γ = 90.00°. The asymmetric unit holds Mg at (0.000, 0.500, 0.244), Cu at (0.000, 0.000, 0.000), Cu at (0.000, 0.000, 0.500), Cu at (0.500, 0.500, 0.500) and Ni at (0.500, 0.500, 0.000).

=====

MgCu2Ni: optimized geometry, PBE.

Its calculated total energy is -15.8 eV/cell. As for the magnetization: 0.000 μB/atom.

It has space group Pmm2 (No. 25), with a = 2.741 Å, b = 3.527 Å, c = 5.390 Å, α = 90.00°, β = 90.00° and γ = 90.00°. The asymmetric unit holds Mg at (0.000, 0.000, 0.000), Cu at (0.000, 0.000, 0.510), Cu at (0.500, 0.500, 0.279) and Ni at (0.500, 0.500, 0.742).

=====

Mg2Cu2Ni15: optimized geometry, PBE.

Its calculated total energy is -294.0 eV/cell. As for the magnetization: 0.374 μB/atom.

It has space group R-3m (No. 166, hexagonal axes), with a = 8.1836 Å, b = 8.1836 Å, c = 12.0182 Å, α = 90.00°, β = 90.00° and γ = 120.00°. The asymmetric unit holds Mg at (0.0000, 0.0000, 0.1569), Cu at (0.0000, 0.0000, 0.3990), Ni at (0.0000, 0.3010, 0.5000), Ni at (0.0000, 0.5000, 0.0000) and Ni at (0.0035, 0.5017, 0.6527).

=====

MgCu2Ni2: optimized geometry, PBE.

The energy above the most stable polymorph in this dataset is 2.33 kcal/mol of atoms. Its calculated total energy is -41.5 eV/cell. As for the magnetization: 0.000 μB/atom.

It has space group I4/mmm (No. 139), with a = 3.509 Å, b = 3.509 Å, c = 11.235 Å, α = 90.00°, β = 90.00° and γ = 90.00°. The asymmetric unit holds Mg at (0.000, 0.000, 0.000), Cu at (0.000, 0.500, 0.250) and Ni at (0.000, 0.000, 0.399).

=====

MgCu2Ni: optimized geometry, PBE.

Its calculated total energy is -63.6 eV/cell. As for the magnetization: 0.000 μB/atom.

It has space group F222 (No. 22), with a = 5.294 Å, b = 5.305 Å, c = 7.343 Å, α = 90.00°, β = 90.00° and γ = 90.00°. The asymmetric unit holds Mg at (0.000, 0.000, 0.000), Cu at (0.000, 0.000, 0.500), Cu at (0.250, 0.250, 0.750) and Ni at (0.250, 0.250, 0.250).

=====

Q: Among the records above, which one has the highest magnetization?
A: Mg2Cu2Ni15

=====

Q: magnetization of number 2 (Mg4Cu3Ni)?
A: 0.000 μB/atom

=====

Q: Number 3 is which compound?
A: MgCu2Ni

=====

Q: Which of these has the highest magnetization?
A: Mg2Cu2Ni15